Density functional theory data (PBE with a Hubbard U) for a geometry-optimized Sc2MnRhO6 structure.

## Properties
* total DFT energy (no corrections): -8.016 eV per atom
* density: 5.0 g cm⁻³

Lattice parameters (Å, degrees): 5.1987 5.2834 5.5687 62.84 89.89 61.17
Last column: nearest neighbours and their distance in Å.
Space group P1 (No. 1)
Unique sites:
Sc (0.0000, 0.0000, 0.0000) x1  5 O 2.03-2.22
Sc (0.4975, 0.0125, 0.4854) x1  6 O 2.05-2.23
Mn (0.2842, 0.4319, 0.8698) x1  5 O 2.00-2.12
Rh (0.7959, 0.4147, 0.3935) x1  6 O 2.07-2.09
O (0.0819, 0.2421, 0.1678) x1  2 Sc 2.08-2.19, 1 Rh 2.09, 1 Mn 2.09
O (0.1861, 0.2408, 0.6734) x1  1 Mn 2.00, 1 Rh 2.07, 2 Sc 2.11-2.22
O (0.4000, 0.5217, 0.1682) x1  1 Mn 2.08, 2 Sc 2.09-2.23, 1 Rh 2.09
O (0.5795, 0.5232, 0.6760) x1  1 Mn 2.00, 1 Rh 2.07, 1 Sc 2.10
O (0.6931, 0.9056, 0.1809) x1  2 Sc 2.03-2.13, 1 Rh 2.07
O (0.8912, 0.9309, 0.6699) x1  2 Sc 2.05-2.16, 1 Rh 2.08, 1 Mn 2.12